# LaSc2TiOs

Crystalline LaSc2TiOs at its relaxed geometry (PBE, the Alexandria database).

ΔH_f (0 K) = 1.170 eV/atom
Total energy = -6.173 eV/atom

POSCAR file:
```
LaSc2TiOs
1.0
4.6918 0.0000 0.0000
0.0000 4.6918 0.0000
0.0000 0.0000 5.3530
La Sc Ti Os
1 2 1 1
direct
0.0000 0.0000 0.0000 La
0.0000 0.5000 0.5000 Sc
0.5000 0.0000 0.5000 Sc
0.0000 0.0000 0.5000 Ti
0.5000 0.5000 0.0000 Os
```